# 1
This record from Alexandria via LeMat-Bulk describes a relaxed Th2CoGeAu crystal. The functional is PBE.

Output
Formation enthalpy at 0 K   -265 kJ/mol of formula units
Spin magnetization   0.00 μB per formula unit

Cell lengths 7.117, 4.311, 8.090 Å; angles 90.00, 112.99, 90.00 degrees
Space group P2_1/m (No. 11)
Asymmetric unit:
Th 0.173 0.250 0.368 [2 per cell]
Th 0.276 0.250 0.953 [2 per cell]
Co 0.089 0.750 0.072 [2 per cell]
Ge 0.438 0.750 0.278 [2 per cell]
Au 0.297 0.750 0.675 [2 per cell]

# 2
This record from Alexandria via LeMat-Bulk describes a relaxed Rb4NaCr3Br12 crystal. The functional is PBE.

Output
Spin magnetization   11.00 μB per formula unit
Raw formation energy   -24.16 eV per formula unit

Cell lengths 10.761, 10.761, 10.761 Å; angles 90.00, 90.00, 90.00 degrees
Space group Im-3m (No. 229)
Asymmetric unit:
Rb 0.250 0.250 0.250 [8 per cell]
Na 0.000 0.000 0.000 [2 per cell]
Cr 0.000 0.000 0.500 [6 per cell]
Br 0.000 0.000 0.268 [12 per cell]
Br 0.000 0.250 0.500 [12 per cell]

# 3
This record from Alexandria via LeMat-Bulk describes a relaxed PuNpPt4 crystal. The functional is PBE.

Output
Formation enthalpy at 0 K   -433 kJ/mol of formula units
Spin magnetization   9.39 μB per formula unit

Cell lengths 7.698, 7.698, 7.698 Å; angles 90.00, 90.00, 90.00 degrees
Space group F-43m (No. 216)
Asymmetric unit:
Pu 0.000 0.000 0.000 [4 per cell]
Np 0.250 0.250 0.750 [4 per cell]
Pt 0.125 0.125 0.375 [16 per cell]

# 4
This record from Alexandria via LeMat-Bulk describes a relaxed HgAs2Br crystal. The functional is PBE.

Output
Spin magnetization   0.00 μB per formula unit
Raw formation energy   -0.20 eV per formula unit
Energy above the most stable polymorph in this dataset   0 meV per atom

Cell lengths 3.8343, 3.8343, 24.0165 Å; angles 90.00, 90.00, 120.00 degrees
Space group R3m (No. 160, hexagonal axes)
Asymmetric unit:
Hg 0.0000 0.0000 0.0000 [3 per cell]
As 0.0000 0.0000 0.4781 [3 per cell]
As 0.0000 0.0000 0.7558 [3 per cell]
Br 0.0000 0.0000 0.2513 [3 per cell]

Number 1: energy -65.172 eV for the cell shown. Number 2: energy -156.586 eV for the cell shown. Number 3: energy -223.695 eV for the cell shown. Number 4: energy -34.417 eV for the cell shown.